Record 1
## K3Hf3ScSe8 (GGA-PBE)

Data for crystalline K3Hf3ScSe8 at its relaxed geometry.

a = 7.7121 Å, b = 7.7160 Å, c = 9.0550 Å
α = 115.20°, β = 89.99°, γ = 120.02°
Element x y z (fractional)
Se 0.2350 0.9629 0.6976
Se 0.7647 0.5295 0.3025
Se 0.2353 0.4705 0.6975
Se 0.7277 0.9628 0.6976
Se 0.7650 0.0371 0.3024
Se 0.2666 0.5331 0.3002
Se 0.2723 0.0372 0.3024
Se 0.7334 0.4669 0.6998
Hf 0.0000 0.5000 0.5000
Hf 0.5000 0.5000 0.5000
Hf 0.5000 0.0000 0.5000
K 0.0000 0.0000 0.0000
K 0.5000 0.5000 0.0000
K 0.0000 0.5000 0.0000
Sc 0.0000 0.0000 0.5000

formation energy without anion corrections = -1418 meV/atom
symmetry = R-3m
final energy = -5.91 eV per atom


Record 2
## LaEr2Tm8 (GGA-PBE)

Data for crystalline LaEr2Tm8 at its relaxed geometry.

a = 5.4341 Å, b = 10.1053 Å, c = 10.1053 Å
α = 39.83°, β = 92.54°, γ = 92.54°
Element x y z (fractional)
Tm 0.2675 0.5972 0.1325
Tm 0.2398 0.5469 0.5469
Tm 0.7602 0.4531 0.4531
Tm 0.2675 0.1325 0.5972
Tm 0.2357 0.1896 0.1896
Tm 0.7325 0.4028 0.8675
Tm 0.7643 0.8104 0.8104
Tm 0.7325 0.8675 0.4028
La 0.0000 0.0000 0.0000
Er 0.7527 0.2850 0.2850
Er 0.2473 0.7150 0.7150

ΔH_f (0 K) = 1.5 eV/f.u.
symmetry = C2/m
final energy = -4.39 eV per atom


Record 3
## Ce2FeCo3Ge4 (GGA-PBE)

Data for crystalline Ce2FeCo3Ge4 at its relaxed geometry.

a = 4.0925 Å, b = 4.0925 Å, c = 9.6545 Å
α = 90.00°, β = 90.00°, γ = 90.00°
Element x y z (fractional)
Ce 0.0000 0.5000 0.7505
Ce 0.5000 0.0000 0.2495
Ge 0.0000 0.0000 0.0000
Ge 0.5000 0.5000 0.0000
Ge 0.5000 0.0000 0.6266
Ge 0.0000 0.5000 0.3734
Co 0.0000 0.0000 0.5000
Co 0.0000 0.5000 0.1288
Co 0.5000 0.0000 0.8712
Fe 0.5000 0.5000 0.5000

ΔH_f (0 K) = -5.4 eV/f.u.
symmetry = P-4m2
final energy = -6.56 eV per atom


What is the final energy in the third record? -6.56 eV per atom


Repeat the second record exactly.
## LaEr2Tm8 (GGA-PBE)

Data for crystalline LaEr2Tm8 at its relaxed geometry.

a = 5.4341 Å, b = 10.1053 Å, c = 10.1053 Å
α = 39.83°, β = 92.54°, γ = 92.54°
Element x y z (fractional)
Tm 0.2675 0.5972 0.1325
Tm 0.2398 0.5469 0.5469
Tm 0.7602 0.4531 0.4531
Tm 0.2675 0.1325 0.5972
Tm 0.2357 0.1896 0.1896
Tm 0.7325 0.4028 0.8675
Tm 0.7643 0.8104 0.8104
Tm 0.7325 0.8675 0.4028
La 0.0000 0.0000 0.0000
Er 0.7527 0.2850 0.2850
Er 0.2473 0.7150 0.7150

ΔH_f (0 K) = 1.5 eV/f.u.
symmetry = C2/m
final energy = -4.39 eV per atom


What is the formula in the first record? K3Hf3ScSe8